Record 1
{
  "formula": "NaLu5",
  "functional": "PBE",
  "state": "optimized geometry",
  "m_tot_mub_per_atom": 0.00,
  "e_tot_ev_per_atom": -3.498,
  "lattice_angstrom": [[6.4673, 0.0000, 0.0000], [-3.2336, 5.6008, 0.0000], [0.0000, 0.0000, 5.6262]],
  "species": ["Lu", "Lu", "Lu", "Lu", "Lu", "Na"],
  "fractional_positions": [[0.6667, 0.3333, 0.0000], [0.3333, 0.6667, 0.0000], [0.5000, 0.0000, 0.5000], [0.0000, 0.5000, 0.5000], [0.5000, 0.5000, 0.5000], [0.0000, 0.0000, 0.0000]]
}

---

Record 2
{
  "formula": "Na4GaGePt2",
  "functional": "PBE",
  "state": "optimized geometry",
  "m_tot_mub_per_atom": 0.00,
  "e_tot_ev_per_atom": -3.311,
  "lattice_angstrom": [[-1.5359, 2.3288, 3.7634], [3.0794, -2.2987, 2.6793], [4.4782, 4.7229, -1.0949]],
  "species": ["Ga", "Ge", "Na", "Na", "Na", "Na", "Pt", "Pt"],
  "fractional_positions": [[0.5000, 0.5000, 0.0000], [0.0000, 0.0000, 0.5000], [0.0000, 0.0000, 0.0000], [0.5000, 0.0000, 0.2483], [0.5000, 0.5000, 0.5000], [0.0000, 0.5000, 0.7517], [0.0000, 0.5000, 0.2551], [0.5000, 0.0000, 0.7449]]
}